Tb6In2Si: relaxed, PBE.

Structure (CIF):
```
data_Tb6In2Si
_chemical_formula_sum 'Tb6 In2 Si1'
_cell_length_a 8.5414
_cell_length_b 8.5414
_cell_length_c 4.0214
_cell_angle_alpha 90.00
_cell_angle_beta 90.00
_cell_angle_gamma 120.00
_space_group_name_H-M_alt 'P -6 2 m'
_space_group_IT_number 189
_space_group_name_Hall 'P -6 -2'
loop_
_atom_site_label
_atom_site_type_symbol
_atom_site_fract_x
_atom_site_fract_y
_atom_site_fract_z
_atom_site_occupancy
Tb1 Tb 0.0000 0.3921 0.0000 1
Tb2 Tb 0.0000 0.7475 0.5000 1
In1 In 0.3333 0.6667 0.5000 1
Si1 Si 0.0000 0.0000 0.0000 1
```

Summary:
Raw formation energy in meV per atom: -400
Calculated volume in Å³ per cell: 254